[1]
Computed, not measured: a geometry-optimized ZnCdAu2 structure at the PBE level of DFT.

```
ZnCdAu2
1.0
5.1038 -0.0171 0.1141
4.1462 2.9762 0.1141
1.4249 0.4558 4.7684
Cd Au Zn
1 2 1
Direct
0.7500 0.7500 0.7500
0.5193 0.5193 0.4848
0.9807 0.9807 0.0152
0.2500 0.2500 0.2500
```

Values from the calculation:
The energy relative to the elements comes out at -0.114 eV per atom. Its symmetry is C2/m, No. 12. The magnetic moment comes out at 0.00 Bohr magnetons per cell.


[2]
Computed, not measured: a geometry-optimized ZnCdAu structure at the PBE level of DFT.

```
ZnCdAu
1.0
6.6580 0.0000 0.0000
3.3290 7.3537 -0.0845
3.3290 2.3690 6.9621
Au Cd Zn
6 6 6
Direct
0.2564 0.2522 0.7522
0.9249 0.3307 0.3320
0.2608 0.7478 0.2478
0.9249 0.8320 0.8307
0.5876 0.1680 0.1693
0.5876 0.6693 0.6680
0.6836 0.0357 0.5357
0.6898 0.5327 0.0327
0.8200 0.7495 0.2495
0.2552 0.4673 0.9673
0.8191 0.2505 0.7505
0.2550 0.9643 0.4643
0.0229 0.1159 0.1197
0.0229 0.6197 0.6159
0.2585 0.8841 0.8803
0.4981 0.5000 0.5000
0.2585 0.3803 0.3841
0.4981 0.0000 0.0000
```

Values from the calculation:
The energy above the most stable polymorph in this dataset is 0.000 eV per atom. The energy relative to the elements comes out at -0.156 eV per atom. Its symmetry is Ima2, No. 46. The magnetic moment comes out at 0.00 Bohr magnetons per cell.


[3]
Computed, not measured: a geometry-optimized ZnCd6Au12 structure at the PBE level of DFT.

```
ZnCd6Au12
1.0
7.2973 0.8774 1.0512
-0.2390 7.3460 1.0512
-0.2390 -0.2784 7.4156
Au Zn Cd
12 1 6
Direct
0.3290 0.0079 0.0935
0.5415 0.6611 0.1627
0.0935 0.3290 0.0079
0.6710 0.9921 0.9065
0.4585 0.3389 0.8373
0.9065 0.6710 0.9921
0.8373 0.4585 0.3389
0.9921 0.9065 0.6710
0.1627 0.5415 0.6611
0.6611 0.1627 0.5415
0.3389 0.8373 0.4585
0.0079 0.0935 0.3290
0.0000 0.0000 0.0000
0.4214 0.7354 0.8152
0.2646 0.1848 0.5786
0.1848 0.5786 0.2646
0.7354 0.8152 0.4214
0.5786 0.2646 0.1848
0.8152 0.4214 0.7354
```

Values from the calculation:
The energy relative to the elements comes out at -0.073 eV per atom. Its symmetry is R-3, No. 148. The magnetic moment comes out at 0.00 Bohr magnetons per cell.


[4]
Computed, not measured: a geometry-optimized ZnCd3Au structure at the PBE level of DFT.

```
ZnCd3Au
1.0
-3.2710 -2.8643 -3.1075
2.3607 -4.4977 1.6609
-3.5055 -0.3561 4.0181
Cd Zn Au
3 1 1
Direct
0.0000 0.0000 0.5000
0.0000 0.5000 0.0000
0.5000 0.0000 0.0000
0.5000 0.5000 0.5000
0.0000 0.0000 0.0000
```

Values from the calculation:
The energy above the most stable polymorph in this dataset is 0.223 eV per atom. The energy relative to the elements comes out at 0.198 eV per atom. Its symmetry is Pm-3m, No. 221. The magnetic moment comes out at 0.00 Bohr magnetons per cell.


no.,calculated volume (Å³/cell)
1,72.2
2,342.2
3,402.9
4,152.6